<i>
DFT (PBE) results for crystalline Ba2SrI6 at its relaxed geometry.

Space-group type = P-62m (189)
Size of the total moment = 0.0 μB/cell

abc: 9.236 9.236 5.065
angles: 90.00 90.00 120.00
Fractional positions:
Ba 0.333 0.667 0.000
Ba 0.667 0.333 0.000
Sr 0.000 0.000 0.500
I 0.000 0.250 0.000
I 0.000 0.594 0.500
I 0.250 0.000 0.000
I 0.406 0.406 0.500
I 0.594 0.000 0.500
I 0.750 0.750 0.000


<ii>
DFT (PBE) results for crystalline Ba2SrI6 at its relaxed geometry.

Space-group type = P-4b2 (117)
Size of the total moment = 0.0 μB/cell

abc: 8.269 8.269 24.885
angles: 90.00 90.00 90.00
Fractional positions:
Ba 0.000 0.000 0.165
Ba 0.000 0.000 0.835
Ba 0.000 0.500 0.335
Ba 0.000 0.500 0.665
Ba 0.500 0.000 0.335
Ba 0.500 0.000 0.665
Ba 0.500 0.500 0.165
Ba 0.500 0.500 0.835
Sr 0.000 0.000 0.500
Sr 0.000 0.500 0.000
Sr 0.500 0.000 0.000
Sr 0.500 0.500 0.500
I 0.234 0.234 0.419
I 0.234 0.766 0.581
I 0.248 0.248 0.750
I 0.248 0.752 0.250
I 0.249 0.750 0.920
I 0.250 0.249 0.080
I 0.250 0.749 0.080
I 0.251 0.250 0.920
I 0.252 0.252 0.250
I 0.252 0.748 0.750
I 0.266 0.266 0.581
I 0.266 0.734 0.419
I 0.734 0.266 0.419
I 0.734 0.734 0.581
I 0.748 0.252 0.750
I 0.748 0.748 0.250
I 0.749 0.750 0.920
I 0.750 0.251 0.080
I 0.750 0.751 0.080
I 0.751 0.250 0.920
I 0.752 0.248 0.250
I 0.752 0.752 0.750
I 0.766 0.234 0.581
I 0.766 0.766 0.419


It comes down to <ii>, which is 0.006 eV/atom more stable than the next structure.